Record 1
The following is a GGA-PBE calculation of crystalline Al2As2O at its relaxed geometry, from the Alexandria database.

Properties
Formation energy without anion corrections in eV per atom: -0.72
Magnetic moment in μB/f.u.: 0.000
Energy above the most stable polymorph in this dataset in eV/f.u.: 0.00
Crystal system: tetragonal

The structure in extended XYZ format:
```
10
Lattice="5.412 0.000 0.000 0.000 5.412 0.000 0.000 0.000 5.266" Properties=species:S:1:pos:R:3 pbc="T T T"
Al 0.975 1.731 0.000
Al 1.731 4.436 0.000
Al 3.681 0.975 0.000
Al 4.436 3.681 0.000
As 1.271 1.434 2.633
As 1.434 4.140 2.633
As 3.977 1.271 2.633
As 4.140 3.977 2.633
O 0.000 0.000 0.000
O 2.706 2.706 0.000
```


Record 2
The following is a GGA-PBE calculation of crystalline AlAs2O6 at its relaxed geometry, from the Alexandria database.

Properties
Formation energy without anion corrections in eV per atom: -1.26
Magnetic moment in μB/f.u.: 0.242
Energy above the most stable polymorph in this dataset in eV/f.u.: 1.84
Crystal system: trigonal

The structure in extended XYZ format:
```
9
Lattice="5.549 0.000 0.000 -2.775 4.806 0.000 0.000 0.000 6.040" Properties=species:S:1:pos:R:3 pbc="T T T"
Al 0.000 0.000 0.000
As 0.000 3.204 1.410
As 2.775 1.602 4.630
O 0.000 1.547 1.118
O -1.435 4.032 1.118
O 1.340 0.774 4.922
O 1.435 4.032 1.118
O 4.209 0.774 4.922
O 2.775 3.259 4.922
```


Record 3
The following is a GGA-PBE calculation of crystalline AlAsO4 at its relaxed geometry, from the Alexandria database.

Properties
Formation energy without anion corrections in eV per atom: -1.98
Magnetic moment in μB/f.u.: 0.000
Crystal system: tetragonal

The structure in extended XYZ format:
```
12
Lattice="5.181 0.000 0.000 0.000 5.181 0.000 0.000 0.000 7.620" Properties=species:S:1:pos:R:3 pbc="T T T"
Al 0.000 0.000 0.000
Al 2.591 2.591 3.810
As 0.000 2.591 1.905
As 2.591 0.000 5.715
O 0.651 3.848 0.954
O 1.257 1.940 2.856
O 1.333 0.651 6.666
O 1.940 3.924 4.764
O 3.241 1.257 4.764
O 3.848 4.530 6.666
O 3.924 3.241 2.856
O 4.530 1.333 0.954
```


Record 4
The following is a GGA-PBE calculation of crystalline AlAs2O6 at its relaxed geometry, from the Alexandria database.

Properties
Formation energy without anion corrections in eV per atom: -1.47
Magnetic moment in μB/f.u.: 0.824
Energy above the most stable polymorph in this dataset in eV/f.u.: 0.00
Crystal system: trigonal

The structure in extended XYZ format:
```
9
Lattice="2.503 1.445 4.580 -2.503 1.445 4.580 0.000 -2.890 4.580" Properties=species:S:1:pos:R:3 pbc="T T T"
Al 0.000 0.000 0.000
As 0.000 0.000 2.787
As 0.000 0.000 6.903
O -0.523 -1.585 6.058
O -1.780 0.027 8.239
O -1.111 1.245 6.058
O 0.866 -1.555 8.239
O 1.634 0.340 6.058
O 0.913 1.528 8.239
```


Record 5
The following is a GGA-PBE calculation of crystalline Al3AsO at its relaxed geometry, from the Alexandria database.

Properties
Formation energy without anion corrections in eV per atom: -0.28
Magnetic moment in μB/f.u.: 0.000
Energy above the most stable polymorph in this dataset in eV/f.u.: 0.00
Crystal system: cubic

The structure in extended XYZ format:
```
5
Lattice="4.303 0.000 0.000 0.000 4.303 0.000 0.000 0.000 4.303" Properties=species:S:1:pos:R:3 pbc="T T T"
Al 0.000 0.000 2.151
Al 0.000 2.151 0.000
Al 2.151 0.000 0.000
As 2.151 2.151 2.151
O 0.000 0.000 0.000
```


Record 6
The following is a GGA-PBE calculation of crystalline AlAsO2 at its relaxed geometry, from the Alexandria database.

Properties
Formation energy without anion corrections in eV per atom: -0.24
Magnetic moment in μB/f.u.: 0.000
Energy above the most stable polymorph in this dataset in eV/f.u.: 6.94
Crystal system: cubic

The structure in extended XYZ format:
```
16
Lattice="5.662 0.000 0.000 0.000 5.662 0.000 0.000 0.000 5.662" Properties=species:S:1:pos:R:3 pbc="T T T"
Al 0.000 0.000 0.000
Al 0.000 2.831 2.831
Al 2.831 0.000 2.831
Al 2.831 2.831 0.000
As 0.000 0.000 2.831
As 0.000 2.831 0.000
As 2.831 0.000 0.000
As 2.831 2.831 2.831
O 1.415 1.415 1.415
O 1.415 1.415 4.246
O 1.415 4.246 1.415
O 1.415 4.246 4.246
O 4.246 1.415 1.415
O 4.246 1.415 4.246
O 4.246 4.246 1.415
O 4.246 4.246 4.246
```


Record 7
The following is a GGA-PBE calculation of crystalline Al3AsO at its relaxed geometry, from the Alexandria database.

Properties
Formation energy without anion corrections in eV per atom: 0.86
Magnetic moment in μB/f.u.: 0.000
Energy above the most stable polymorph in this dataset in eV/f.u.: 5.70
Crystal system: cubic

The structure in extended XYZ format:
```
5
Lattice="4.911 0.000 0.000 0.000 4.911 0.000 0.000 0.000 4.911" Properties=species:S:1:pos:R:3 pbc="T T T"
Al 0.000 0.000 2.455
Al 0.000 2.455 0.000
Al 2.455 0.000 0.000
As 0.000 0.000 0.000
O 2.455 2.455 2.455
```


Record 8
The following is a GGA-PBE calculation of crystalline Al2AsO at its relaxed geometry, from the Alexandria database.

Properties
Formation energy without anion corrections in eV per atom: -1.01
Magnetic moment in μB/f.u.: 0.000
Energy above the most stable polymorph in this dataset in eV/f.u.: 0.00
Crystal system: tetragonal

The structure in extended XYZ format:
```
16
Lattice="4.920 0.000 0.000 0.000 4.920 0.000 0.000 0.000 10.801" Properties=species:S:1:pos:R:3 pbc="T T T"
Al 0.791 1.230 1.350
Al 1.230 3.251 4.050
Al 1.230 4.129 9.451
Al 1.669 1.230 6.751
Al 3.251 3.690 6.751
Al 3.690 0.791 9.451
Al 3.690 1.669 4.050
Al 4.129 3.690 1.350
As 0.000 0.000 5.401
As 0.000 2.460 8.101
As 2.460 0.000 2.700
As 2.460 2.460 0.000
O 0.000 0.000 0.000
O 0.000 2.460 2.700
O 2.460 0.000 8.101
O 2.460 2.460 5.401
```


Record 9
The following is a GGA-PBE calculation of crystalline AlAsOs2O at its relaxed geometry, from the Alexandria database.

Properties
Formation energy without anion corrections in eV per atom: 2.12
Magnetic moment in μB/f.u.: 3.704
Crystal system: tetragonal

The structure in extended XYZ format:
```
5
Lattice="4.548 0.000 0.000 0.000 4.548 0.000 0.000 0.000 4.634" Properties=species:S:1:pos:R:3 pbc="T T T"
Al 0.000 0.000 0.000
As 0.000 0.000 2.317
Os 0.000 2.274 0.000
Os 2.274 0.000 0.000
O 2.274 2.274 2.317
```


Record 10
The following is a GGA-PBE calculation of crystalline AlAsP2O at its relaxed geometry, from the Alexandria database.

Properties
Formation energy without anion corrections in eV per atom: -0.12
Magnetic moment in μB/f.u.: 0.000
Energy above the most stable polymorph in this dataset in eV/f.u.: 0.00
Crystal system: tetragonal

The structure in extended XYZ format:
```
5
Lattice="4.882 0.000 0.000 0.000 4.882 0.000 0.000 0.000 3.420" Properties=species:S:1:pos:R:3 pbc="T T T"
Al 0.000 0.000 0.000
As 2.441 2.441 1.710
P 0.000 2.441 0.000
P 2.441 0.000 0.000
O 0.000 0.000 1.710
```


Record 11
The following is a GGA-PBE calculation of crystalline AlAsP2O at its relaxed geometry, from the Alexandria database.

Properties
Formation energy without anion corrections in eV per atom: 0.32
Magnetic moment in μB/f.u.: 0.000
Energy above the most stable polymorph in this dataset in eV/f.u.: 2.18
Crystal system: tetragonal

The structure in extended XYZ format:
```
5
Lattice="4.803 0.000 0.000 0.000 4.803 0.000 0.000 0.000 3.641" Properties=species:S:1:pos:R:3 pbc="T T T"
Al 0.000 0.000 0.000
As 2.401 2.401 1.821
P 0.000 2.401 1.821
P 2.401 0.000 1.821
O 2.401 2.401 0.000
```


Record 12
The following is a GGA-PBE calculation of crystalline AlAsPb2O6 at its relaxed geometry, from the Alexandria database.

Properties
Formation energy without anion corrections in eV per atom: -1.54
Magnetic moment in μB/f.u.: 0.000
Crystal system: trigonal

The structure in extended XYZ format:
```
20
Lattice="2.773 1.601 9.101 -2.773 1.601 9.101 0.000 -3.202 9.101" Properties=species:S:1:pos:R:3 pbc="T T T"
Al 0.000 0.000 2.584
Al 0.000 0.000 24.720
As 0.000 0.000 0.000
As 0.000 0.000 13.652
Pb 0.000 0.000 5.966
Pb 0.000 0.000 10.163
Pb 0.000 0.000 17.141
Pb 0.000 0.000 21.338
O 0.000 -1.759 7.924
O -1.523 0.880 7.924
O -1.330 -0.768 14.735
O 0.000 -1.535 12.569
O -1.330 0.768 12.569
O -1.523 -0.880 19.380
O 1.523 0.880 7.924
O 1.330 -0.768 14.735
O 0.000 1.535 14.735
O 1.330 0.768 12.569
O 1.523 -0.880 19.380
O 0.000 1.759 19.380
```


Record 13
The following is a GGA-PBE calculation of crystalline AlAsPbO5 at its relaxed geometry, from the Alexandria database.

Properties
Formation energy without anion corrections in eV per atom: -1.77
Magnetic moment in μB/f.u.: 0.000
Crystal system: monoclinic

The structure in extended XYZ format:
```
16
Lattice="3.492 -4.569 0.000 3.492 4.569 0.000 -2.728 0.000 6.448" Properties=species:S:1:pos:R:3 pbc="T T T"
Al 0.000 0.000 0.000
Al -1.364 0.000 3.224
As 1.447 1.725 4.836
As 2.810 -1.725 1.612
Pb 2.810 1.698 1.612
Pb 1.447 -1.698 4.836
O 2.810 4.035 1.612
O 0.372 2.752 5.755
O 0.570 0.760 3.721
O 2.521 2.752 3.917
O 1.934 -0.760 0.497
O 2.323 0.760 5.950
O 1.736 -2.752 2.531
O 3.687 -0.760 2.726
O 3.885 -2.752 0.693
O 1.447 -4.035 4.836
```


Record 14
The following is a GGA-PBE calculation of crystalline AlAs2PbO8 at its relaxed geometry, from the Alexandria database.

Properties
Formation energy without anion corrections in eV per atom: -1.45
Magnetic moment in μB/f.u.: 1.084
Crystal system: trigonal

The structure in extended XYZ format:
```
12
Lattice="5.128 0.000 0.000 -2.564 4.441 0.000 0.000 0.000 7.151" Properties=species:S:1:pos:R:3 pbc="T T T"
Al 0.000 0.000 0.000
As 0.000 2.960 1.589
As 2.564 1.480 5.562
Pb 0.000 0.000 3.575
O -0.551 1.396 1.164
O -1.079 4.220 1.164
O 0.933 1.175 5.987
O 0.000 2.960 3.328
O 2.564 1.480 3.823
O 1.630 3.265 1.164
O 3.643 0.221 5.987
O 3.115 3.045 5.987
```


Record 15
The following is a GGA-PBE calculation of crystalline AlAsPd2O at its relaxed geometry, from the Alexandria database.

Properties
Formation energy without anion corrections in eV per atom: -0.48
Magnetic moment in μB/f.u.: 0.000
Crystal system: tetragonal

The structure in extended XYZ format:
```
5
Lattice="4.736 0.000 0.000 0.000 4.736 0.000 0.000 0.000 3.410" Properties=species:S:1:pos:R:3 pbc="T T T"
Al 0.000 0.000 0.000
As 2.368 2.368 0.000
Pd 0.000 2.368 1.705
Pd 2.368 0.000 1.705
O 0.000 0.000 1.705
```


Record 16
The following is a GGA-PBE calculation of crystalline AlAs2PdO8 at its relaxed geometry, from the Alexandria database.

Properties
Formation energy without anion corrections in eV per atom: -1.03
Magnetic moment in μB/f.u.: 1.132
Crystal system: tetragonal

The structure in extended XYZ format:
```
12
Lattice="-3.251 3.251 3.168 3.251 -3.251 3.168 3.251 3.251 -3.168" Properties=species:S:1:pos:R:3 pbc="T T T"
Al 0.000 0.000 0.000
As 0.000 0.000 3.168
As 0.000 3.251 1.584
Pd 3.251 0.000 1.584
O 2.061 3.251 -1.275
O 1.190 0.000 1.893
O 0.000 1.931 0.477
O 3.251 2.061 1.275
O 0.000 4.571 0.477
O 0.000 1.190 4.444
O -1.320 3.251 2.692
O 1.320 3.251 2.692
```


Record 17
The following is a GGA-PBE calculation of crystalline PmAlAsO2 at its relaxed geometry, from the Alexandria database.

Properties
Formation energy without anion corrections in eV per atom: -2.18
Magnetic moment in μB/f.u.: 0.000
Crystal system: orthorhombic

The structure in extended XYZ format:
```
10
Lattice="2.771 -6.090 0.000 2.771 6.090 0.000 0.000 0.000 5.247" Properties=species:S:1:pos:R:3 pbc="T T T"
Pm 2.771 4.697 3.935
Pm 2.771 -4.697 1.312
Al 2.771 0.228 1.312
Al 2.771 -0.228 3.935
As 2.771 2.912 1.312
As 2.771 -2.912 3.935
O 1.500 0.000 0.000
O 1.500 0.000 2.623
O 4.043 0.000 0.000
O 4.043 0.000 2.623
```


Record 18
The following is a GGA-PBE calculation of crystalline PrAlAsO5 at its relaxed geometry, from the Alexandria database.

Properties
Formation energy without anion corrections in eV per atom: -2.29
Magnetic moment in μB/f.u.: 0.894
Crystal system: monoclinic

The structure in extended XYZ format:
```
16
Lattice="3.560 -4.364 0.000 3.560 4.364 0.000 -3.394 0.000 6.658" Properties=species:S:1:pos:R:3 pbc="T T T"
Pr 1.014 2.779 4.994
Pr 2.711 -2.779 1.665
Al 3.560 0.000 0.000
Al 1.862 0.000 3.329
As 2.711 2.597 1.665
As 1.014 -2.597 4.994
O -1.697 0.580 6.030
O 1.363 1.803 2.814
O 0.001 -0.580 2.701
O 4.059 1.803 0.515
O 1.014 0.416 4.994
O 2.711 -0.416 1.665
O -0.334 -1.803 6.144
O 3.724 0.580 3.957
O 2.362 -1.803 3.844
O 5.421 -0.580 0.628
```


Record 19
The following is a GGA-PBE calculation of crystalline RbAlAs2O8 at its relaxed geometry, from the Alexandria database.

Properties
Formation energy without anion corrections in eV per atom: -1.43
Magnetic moment in μB/f.u.: 2.050
Crystal system: trigonal

The structure in extended XYZ format:
```
12
Lattice="5.201 0.000 0.000 -2.600 4.504 0.000 0.000 0.000 8.316" Properties=species:S:1:pos:R:3 pbc="T T T"
Rb 0.000 0.000 0.000
Al 0.000 0.000 4.158
As 0.000 3.003 5.741
As 2.600 1.501 2.575
O -0.526 1.439 5.272
O -1.091 4.240 5.272
O 0.983 1.176 3.044
O 0.000 3.003 7.458
O 2.600 1.501 0.858
O 1.617 3.328 5.272
O 3.691 0.264 3.044
O 3.127 3.065 3.044
```


Record 20
The following is a GGA-PBE calculation of crystalline Rb2AlAs2O6 at its relaxed geometry, from the Alexandria database.

Properties
Formation energy without anion corrections in eV per atom: -1.63
Magnetic moment in μB/f.u.: 0.000
Crystal system: trigonal

The structure in extended XYZ format:
```
11
Lattice="2.838 1.639 6.354 -2.838 1.639 6.354 0.000 -3.277 6.354" Properties=species:S:1:pos:R:3 pbc="T T T"
Rb 0.000 0.000 4.256
Rb 0.000 0.000 14.807
Al 0.000 0.000 0.000
As 0.000 0.000 8.019
As 0.000 0.000 11.044
O 0.000 -1.684 7.488
O -1.458 0.842 7.488
O -1.458 -0.842 11.575
O 1.458 0.842 7.488
O 1.458 -0.842 11.575
O 0.000 1.684 11.575
```